[1]
VASP calculation (GGA-PBE) on LuCd2Sn after structural relaxation.

Unit cell a=4.8301 b=4.4068 c=4.4068 alpha=90.00 beta=90.00 gamma=90.00
Element x y z (fractional)
Lu: 0.5000 0.5000 0.5000
Sn: 0.5000 0.0000 0.0000
Cd: 0.0000 0.0000 0.5000
Cd: 0.0000 0.5000 0.0000

Calculated values
Energy relative to the elements, meV per atom: -346
Space-group type: P4/mmm, No. 123
Offset from the most stable computed form, meV/atom: 0

***

[2]
VASP calculation (GGA-PBE) on LuCd2Sn after structural relaxation.

Unit cell a=3.3150 b=3.3150 c=11.6040 alpha=81.79 beta=81.79 gamma=60.00
Element x y z (fractional)
Lu: 0.0000 0.0000 0.0000
Sn: 0.5000 0.5000 0.5000
Cd: 0.0895 0.0895 0.7315
Cd: 0.9105 0.9105 0.2685

Calculated values
Energy relative to the elements, meV per atom: 187
Space-group type: R-3m, No. 166
Offset from the most stable computed form, meV/atom: 533

***

[3]
VASP calculation (GGA-PBE) on LuCdSn after structural relaxation.

Unit cell a=3.2881 b=3.2881 c=8.4180 alpha=101.26 beta=101.26 gamma=90.00
Each line ends with the local moment (μB).
Element x y z (fractional)
Lu: 0.1343 0.1343 0.2687  0.07
Sn: 0.7680 0.7680 0.5361  0.00
Cd: 0.9476 0.9476 0.8953  0.00

Calculated values
Energy relative to the elements, meV per atom: 7
Space-group type: I4mm, No. 107

***

[4]
VASP calculation (GGA-PBE) on TmLuCdSn after structural relaxation.

Unit cell a=5.2165 b=5.2165 c=5.2165 alpha=60.00 beta=60.00 gamma=60.00
Element x y z (fractional)
Lu: 0.0000 0.0000 0.0000
Tm: 0.5000 0.5000 0.5000
Sn: 0.2500 0.2500 0.2500
Cd: 0.7500 0.7500 0.7500

Calculated values
Energy relative to the elements, meV per atom: -428
Space-group type: F-43m, No. 216

***

[5]
VASP calculation (GGA-PBE) on Sr2LuCd after structural relaxation.

Unit cell a=4.2178 b=4.2178 c=8.1176 alpha=90.00 beta=90.00 gamma=90.00
Element x y z (fractional)
Sr: 0.0000 0.0000 0.7666
Sr: 0.0000 0.0000 0.2334
Lu: 0.5000 0.5000 0.5000
Cd: 0.5000 0.5000 0.0000

Calculated values
Energy relative to the elements, meV per atom: 36
Space-group type: P4/mmm, No. 123
Offset from the most stable computed form, meV/atom: 0

***

[6]
VASP calculation (GGA-PBE) on Sr2LuCd after structural relaxation.

Unit cell a=3.7859 b=3.7859 c=12.5072 alpha=81.29 beta=81.29 gamma=60.00
Element x y z (fractional)
Sr: 0.0947 0.0947 0.7160
Sr: 0.9053 0.9053 0.2840
Lu: 0.0000 0.0000 0.0000
Cd: 0.5000 0.5000 0.5000

Calculated values
Energy relative to the elements, meV per atom: 264
Space-group type: R-3m, No. 166
Offset from the most stable computed form, meV/atom: 228

***

[7]
VASP calculation (GGA-PBE) on SrLuCd2 after structural relaxation.

Unit cell a=3.8371 b=3.8371 c=7.7693 alpha=90.00 beta=90.00 gamma=90.00
Element x y z (fractional)
Sr: 0.5000 0.5000 0.5000
Lu: 0.5000 0.5000 0.0000
Cd: 0.0000 0.0000 0.7867
Cd: 0.0000 0.0000 0.2133

Calculated values
Energy relative to the elements, meV per atom: -301
Space-group type: P4/mmm, No. 123

***

[8]
VASP calculation (GGA-PBE) on SrLu2Cd after structural relaxation.

Unit cell a=3.5928 b=3.5928 c=11.9763 alpha=81.37 beta=81.37 gamma=60.00
Element x y z (fractional)
Sr: 0.0000 0.0000 0.0000
Lu: 0.0993 0.0993 0.7021
Lu: 0.9007 0.9007 0.2979
Cd: 0.5000 0.5000 0.5000

Calculated values
Energy relative to the elements, meV per atom: 211
Space-group type: R-3m, No. 166
Offset from the most stable computed form, meV/atom: 209

***

[9]
VASP calculation (GGA-PBE) on SrLuCd2 after structural relaxation.

Unit cell a=3.7931 b=5.4690 c=5.4690 alpha=90.00 beta=90.00 gamma=90.00
Element x y z (fractional)
Sr: 0.5000 0.0000 0.0000
Lu: 0.5000 0.5000 0.5000
Cd: 0.0000 0.0000 0.5000
Cd: 0.0000 0.5000 0.0000

Calculated values
Energy relative to the elements, meV per atom: -250
Space-group type: P4/mmm, No. 123

***

[10]
VASP calculation (GGA-PBE) on SrLu2Cd after structural relaxation.

Unit cell a=3.7058 b=3.7058 c=9.4499 alpha=90.00 beta=90.00 gamma=90.00
Element x y z (fractional)
Sr: 0.5000 0.5000 0.5000
Lu: 0.0000 0.0000 0.8114
Lu: 0.0000 0.0000 0.1886
Cd: 0.5000 0.5000 0.0000

Calculated values
Energy relative to the elements, meV per atom: 2
Space-group type: P4/mmm, No. 123
Offset from the most stable computed form, meV/atom: 0

***

[11]
VASP calculation (GGA-PBE) on SrLuCd4 after structural relaxation.

Unit cell a=6.0190 b=6.0190 c=6.0190 alpha=60.00 beta=60.00 gamma=60.00
Element x y z (fractional)
Sr: 0.2500 0.2500 0.2500
Lu: 0.0000 0.0000 0.0000
Cd: 0.6255 0.6255 0.1236
Cd: 0.6255 0.1236 0.6255
Cd: 0.6255 0.6255 0.6255
Cd: 0.1236 0.6255 0.6255

Calculated values
Energy relative to the elements, meV per atom: -200
Space-group type: F-43m, No. 216

***

[12]
VASP calculation (GGA-PBE) on SrLuTlCd after structural relaxation.

Unit cell a=5.4897 b=5.4897 c=5.4897 alpha=60.00 beta=60.00 gamma=60.00
Element x y z (fractional)
Sr: 0.0000 0.0000 0.0000
Tl: 0.2500 0.2500 0.2500
Lu: 0.5000 0.5000 0.5000
Cd: 0.7500 0.7500 0.7500

Calculated values
Energy relative to the elements, meV per atom: -281
Space-group type: F-43m, No. 216

***

[13]
VASP calculation (GGA-PBE) on TbLu2Cd after structural relaxation.

Unit cell a=3.5128 b=3.5128 c=10.8184 alpha=80.66 beta=80.66 gamma=60.00
Element x y z (fractional)
Lu: 0.2558 0.2558 0.2327
Lu: 0.7442 0.7442 0.7673
Tb: 0.5000 0.5000 0.5000
Cd: 0.0000 0.0000 0.0000

Calculated values
Energy relative to the elements, meV per atom: -69
Space-group type: R-3m, No. 166
Offset from the most stable computed form, meV/atom: 77

***

[14]
VASP calculation (GGA-PBE) on TbLu2Cd after structural relaxation.

Unit cell a=4.7859 b=4.7919 c=4.7919 alpha=90.00 beta=90.00 gamma=90.00
Element x y z (fractional)
Lu: 0.0000 0.0000 0.5000
Lu: 0.0000 0.5000 0.0000
Tb: 0.5000 0.5000 0.5000
Cd: 0.5000 0.0000 0.0000

Calculated values
Energy relative to the elements, meV per atom: -84
Space-group type: P4/mmm, No. 123
Offset from the most stable computed form, meV/atom: 62

***

[15]
VASP calculation (GGA-PBE) on TbLuCd after structural relaxation.

Unit cell a=3.5540 b=3.5540 c=7.0049 alpha=104.70 beta=104.70 gamma=90.00
Each line ends with the local moment (μB).
Element x y z (fractional)
Lu: 0.3221 0.3221 0.6443  0.28
Tb: 0.0077 0.0077 0.0154  0.32
Cd: 0.6702 0.6702 0.3404  0.01

Calculated values
Energy relative to the elements, meV per atom: -186
Space-group type: I4mm, No. 107
Offset from the most stable computed form, meV/atom: 0

***

[16]
VASP calculation (GGA-PBE) on TbLuCd after structural relaxation.

Unit cell a=3.5225 b=5.2183 c=5.2183 alpha=120.00 beta=90.00 gamma=90.00
Element x y z (fractional)
Lu: 0.9205 0.0000 0.0000
Tb: 0.3713 0.3333 0.6667
Cd: 0.7081 0.6667 0.3333

Calculated values
Energy relative to the elements, meV per atom: -71
Space-group type: P3m1, No. 156
Offset from the most stable computed form, meV/atom: 114

***

[17]
VASP calculation (GGA-PBE) on TbLuCd2 after structural relaxation.

Unit cell a=3.6870 b=3.6870 c=7.5419 alpha=90.00 beta=90.00 gamma=90.00
Each line ends with the local moment (μB).
Element x y z (fractional)
Lu: 0.5000 0.5000 0.0000  0.01
Tb: 0.5000 0.5000 0.5000  0.11
Cd: 0.0000 0.0000 0.7613  0.00
Cd: 0.0000 0.0000 0.2387  0.00

Calculated values
Energy relative to the elements, meV per atom: -310
Space-group type: P4/mmm, No. 123

***

[18]
VASP calculation (GGA-PBE) on TbLu2Cd after structural relaxation.

Unit cell a=3.5233 b=3.5233 c=8.9815 alpha=90.00 beta=90.00 gamma=90.00
Element x y z (fractional)
Lu: 0.0000 0.0000 0.7738
Lu: 0.0000 0.0000 0.2262
Tb: 0.5000 0.5000 0.5000
Cd: 0.5000 0.5000 0.0000

Calculated values
Energy relative to the elements, meV per atom: -146
Space-group type: P4/mmm, No. 123
Offset from the most stable computed form, meV/atom: 0

***

[19]
VASP calculation (GGA-PBE) on TbLu2Cd after structural relaxation.

Unit cell a=5.3742 b=5.3742 c=5.3742 alpha=60.00 beta=60.00 gamma=60.00
Each line ends with the local moment (μB).
Element x y z (fractional)
Lu: 0.2500 0.2500 0.2500  0.10
Lu: 0.7500 0.7500 0.7500  0.10
Tb: 0.0000 0.0000 0.0000  0.17
Cd: 0.5000 0.5000 0.5000  0.00

Calculated values
Energy relative to the elements, meV per atom: 27
Space-group type: Fm-3m, No. 225
Offset from the most stable computed form, meV/atom: 173

***

[20]
VASP calculation (GGA-PBE) on TbLuCdTc after structural relaxation.

Unit cell a=5.0023 b=5.0023 c=5.0023 alpha=60.00 beta=60.00 gamma=60.00
Element x y z (fractional)
Lu: 0.5000 0.5000 0.5000
Tb: 0.0000 0.0000 0.0000
Tc: 0.2500 0.2500 0.2500
Cd: 0.7500 0.7500 0.7500

Calculated values
Energy relative to the elements, meV per atom: -110
Space-group type: F-43m, No. 216

***

[21]
VASP calculation (GGA-PBE) on TbLuTlCd after structural relaxation.

Unit cell a=5.2930 b=5.2930 c=5.2930 alpha=60.00 beta=60.00 gamma=60.00
Element x y z (fractional)
Tl: 0.2500 0.2500 0.2500
Lu: 0.0000 0.0000 0.0000
Tb: 0.5000 0.5000 0.5000
Cd: 0.7500 0.7500 0.7500

Calculated values
Energy relative to the elements, meV per atom: -313
Space-group type: F-43m, No. 216

***

[22]
VASP calculation (GGA-PBE) on TbTmLuCd after structural relaxation.

Unit cell a=5.3898 b=5.3898 c=5.3898 alpha=60.00 beta=60.00 gamma=60.00
Element x y z (fractional)
Tm: 0.2500 0.2500 0.2500
Lu: 0.5000 0.5000 0.5000
Tb: 0.7500 0.7500 0.7500
Cd: 0.0000 0.0000 0.0000

Calculated values
Energy relative to the elements, meV per atom: -29
Space-group type: F-43m, No. 216

***

[23]
VASP calculation (GGA-PBE) on TbYLuCd after structural relaxation.

Unit cell a=5.4227 b=5.4227 c=5.4227 alpha=60.00 beta=60.00 gamma=60.00
Element x y z (fractional)
Y: 0.2500 0.2500 0.2500
Lu: 0.0000 0.0000 0.0000
Tb: 0.7500 0.7500 0.7500
Cd: 0.5000 0.5000 0.5000

Calculated values
Energy relative to the elements, meV per atom: -43
Space-group type: F-43m, No. 216

***

[24]
VASP calculation (GGA-PBE) on TbLuZrCd after structural relaxation.

Unit cell a=5.2790 b=5.2790 c=5.2790 alpha=60.00 beta=60.00 gamma=60.00
Each line ends with the local moment (μB).
Element x y z (fractional)
Lu: 0.0000 0.0000 0.0000  -0.29
Tb: 0.5000 0.5000 0.5000  -0.26
Zr: 0.2500 0.2500 0.2500  -0.94
Cd: 0.7500 0.7500 0.7500  0.02

Calculated values
Energy relative to the elements, meV per atom: 53
Space-group type: F-43m, No. 216

***

[25]
VASP calculation (GGA-PBE) on LuCdTc4 after structural relaxation.

Unit cell a=5.2917 b=5.2917 c=5.2917 alpha=60.00 beta=60.00 gamma=60.00
Element x y z (fractional)
Lu: 0.2500 0.2500 0.2500
Tc: 0.6255 0.6255 0.1234
Tc: 0.6255 0.1234 0.6255
Tc: 0.6255 0.6255 0.6255
Tc: 0.1234 0.6255 0.6255
Cd: 0.0000 0.0000 0.0000

Calculated values
Energy relative to the elements, meV per atom: 47
Space-group type: F-43m, No. 216

***

[26]
VASP calculation (GGA-PBE) on LuThCdTc after structural relaxation.

Unit cell a=5.1075 b=5.1075 c=5.1075 alpha=60.00 beta=60.00 gamma=60.00
Element x y z (fractional)
Lu: 0.0000 0.0000 0.0000
Tc: 0.2500 0.2500 0.2500
Th: 0.5000 0.5000 0.5000
Cd: 0.7500 0.7500 0.7500

Calculated values
Energy relative to the elements, meV per atom: -67
Space-group type: F-43m, No. 216

***

[27]
VASP calculation (GGA-PBE) on LuTiCdTc after structural relaxation.

Unit cell a=4.7471 b=4.7471 c=4.7471 alpha=60.00 beta=60.00 gamma=60.00
Element x y z (fractional)
Lu: 0.7500 0.7500 0.7500
Ti: 0.2500 0.2500 0.2500
Tc: 0.0000 0.0000 0.0000
Cd: 0.5000 0.5000 0.5000

Calculated values
Energy relative to the elements, meV per atom: -79
Space-group type: F-43m, No. 216

***

[28]
VASP calculation (GGA-PBE) on LuZrCdTc after structural relaxation.

Unit cell a=4.8764 b=4.8764 c=4.8764 alpha=60.00 beta=60.00 gamma=60.00
Element x y z (fractional)
Lu: 0.5000 0.5000 0.5000
Tc: 0.2500 0.2500 0.2500
Zr: 0.0000 0.0000 0.0000
Cd: 0.7500 0.7500 0.7500

Calculated values
Energy relative to the elements, meV per atom: -150
Space-group type: F-43m, No. 216

***

[29]
VASP calculation (GGA-PBE) on Lu2CdTe after structural relaxation.

Unit cell a=3.7483 b=3.7483 c=7.2821 alpha=90.00 beta=90.00 gamma=90.00
Element x y z (fractional)
Lu: 0.0000 0.0000 0.7489
Lu: 0.0000 0.0000 0.2511
Te: 0.5000 0.5000 0.0000
Cd: 0.5000 0.5000 0.5000

Calculated values
Space-group type: P4/mmm, No. 123
Offset from the most stable computed form, meV/atom: 0
Energy relative to the elements, uncorrected, kJ per mole of atoms: -54.39

***

[30]
VASP calculation (GGA-PBE) on Lu2CdTe after structural relaxation.

Unit cell a=3.7998 b=3.7998 c=10.5285 alpha=79.60 beta=79.60 gamma=60.00
Element x y z (fractional)
Lu: 0.1000 0.1000 0.6999
Lu: 0.9000 0.9000 0.3001
Te: 0.5000 0.5000 0.5000
Cd: 0.0000 0.0000 0.0000

Calculated values
Space-group type: R-3m, No. 166
Offset from the most stable computed form, meV/atom: 356
Energy relative to the elements, uncorrected, kJ per mole of atoms: -20.02

***

[31]
VASP calculation (GGA-PBE) on LuThCd2 after structural relaxation.

Unit cell a=5.3371 b=5.3371 c=5.3371 alpha=60.00 beta=60.00 gamma=60.00
Element x y z (fractional)
Lu: 0.5000 0.5000 0.5000
Th: 0.0000 0.0000 0.0000
Cd: 0.2500 0.2500 0.2500
Cd: 0.7500 0.7500 0.7500

Calculated values
Energy relative to the elements, meV per atom: -151
Space-group type: Fm-3m, No. 225
Offset from the most stable computed form, meV/atom: 42

***

Fermi-level density of states? In order: 1.03; 2.95; 3.20; 3.88; 3.84; 5.31; 2.61; 5.11; 2.11; 5.27; 5.07; 2.67; 4.25; 5.00; 3.75; 3.51; 3.55; 4.08; 5.68; 3.05; 4.02; 4.65; 4.91; 5.43; 3.69; 4.61; 3.72; 3.46; 3.53; 3.11; 4.95 states/eV per cell.